{"formula": "PuNi4", "functional": "PBE", "state": "optimized geometry", "magmom_total_mub_per_atom": 0.48, "e_form_ev_per_atom": -0.12, "spacegroup": "C2/m (12)", "lattice_angstrom": [[2.426, -4.211, 0.000], [2.426, 4.211, 0.000], [-1.638, 0.000, 9.998]], "species": ["Pu", "Pu", "Pu", "Ni", "Ni", "Ni", "Ni", "Ni", "Ni", "Ni", "Ni", "Ni", "Ni", "Ni", "Ni"], "fractional_positions": [[0.000, 0.000, 0.000], [0.127, 0.127, 0.356], [0.873, 0.873, 0.644], [0.068, 0.570, 0.199], [0.194, 0.536, 0.595], [0.334, 0.666, 0.000], [0.430, 0.932, 0.801], [0.432, 0.432, 0.800], [0.464, 0.806, 0.405], [0.536, 0.194, 0.595], [0.568, 0.568, 0.200], [0.570, 0.068, 0.199], [0.666, 0.334, 0.000], [0.806, 0.464, 0.405], [0.932, 0.430, 0.801]]}

---

{"formula": "Nd2TePbO6", "functional": "PBE", "state": "optimized geometry", "magmom_total_mub_per_atom": 0.00, "e_above_lowest_polymorph_kj_per_mol_fu": 0, "spacegroup": "P2_1/c (14)", "lattice_angstrom": [[5.832, 0.000, 0.000], [0.000, 6.134, 0.000], [-5.749, 0.000, 8.757]], "species": ["Nd", "Nd", "Nd", "Nd", "Te", "Te", "Pb", "Pb", "O", "O", "O", "O", "O", "O", "O", "O", "O", "O", "O", "O"], "fractional_positions": [[0.221, 0.062, 0.250], [0.221, 0.438, 0.750], [0.779, 0.562, 0.250], [0.779, 0.938, 0.750], [0.000, 0.000, 0.500], [0.000, 0.500, 0.000], [0.500, 0.000, 0.000], [0.500, 0.500, 0.500], [0.078, 0.211, 0.909], [0.078, 0.289, 0.409], [0.206, 0.682, 0.918], [0.206, 0.818, 0.418], [0.387, 0.087, 0.723], [0.387, 0.413, 0.223], [0.613, 0.587, 0.777], [0.613, 0.913, 0.277], [0.794, 0.182, 0.582], [0.794, 0.318, 0.082], [0.922, 0.711, 0.591], [0.922, 0.789, 0.091]]}

---

{"formula": "FeSi18Ge13", "functional": "PBE", "state": "optimized geometry", "magmom_total_mub_per_atom": 0.04, "e_tot_ry_per_atom": -0.376, "spacegroup": "Pm (6)", "lattice_angstrom": [[5.565, 0.000, 0.000], [0.000, 3.929, 0.000], [-0.002, 0.000, 31.320]], "species": ["Fe", "Si", "Si", "Si", "Si", "Si", "Si", "Si", "Si", "Si", "Si", "Si", "Si", "Si", "Si", "Si", "Si", "Si", "Si", "Ge", "Ge", "Ge", "Ge", "Ge", "Ge", "Ge", "Ge", "Ge", "Ge", "Ge", "Ge", "Ge"], "fractional_positions": [[0.000, 0.000, 0.000], [0.000, 0.000, 0.125], [0.000, 0.000, 0.878], [0.001, 0.000, 0.376], [0.009, 0.000, 0.751], [0.010, 0.000, 0.499], [0.240, 0.000, 0.942], [0.247, 0.000, 0.688], [0.248, 0.000, 0.186], [0.248, 0.000, 0.437], [0.259, 0.000, 0.315], [0.501, 0.500, 0.315], [0.510, 0.500, 0.063], [0.510, 0.500, 0.815], [0.758, 0.500, 0.125], [0.758, 0.500, 0.876], [0.759, 0.500, 0.375], [0.759, 0.500, 0.627], [0.998, 0.000, 0.627], [0.012, 0.000, 0.251], [0.248, 0.000, 0.564], [0.254, 0.000, 0.060], [0.258, 0.000, 0.815], [0.497, 0.500, 0.938], [0.498, 0.500, 0.688], [0.499, 0.500, 0.436], [0.500, 0.500, 0.187], [0.510, 0.500, 0.564], [0.748, 0.500, 0.252], [0.758, 0.500, 0.752], [0.760, 0.500, 0.500], [0.773, 0.500, 0.001]]}

---

{"formula": "Er5Pt3", "functional": "PBE", "state": "optimized geometry", "magmom_total_mub_per_atom": 0.00, "e_form_ev_per_atom": -1.04, "spacegroup": "P6_3/mcm (193)", "lattice_angstrom": [[8.369, 0.000, 0.000], [-4.185, 7.248, 0.000], [0.000, 0.000, 6.100]], "species": ["Er", "Er", "Er", "Er", "Er", "Er", "Er", "Er", "Er", "Er", "Pt", "Pt", "Pt", "Pt", "Pt", "Pt"], "fractional_positions": [[0.000, 0.247, 0.250], [0.000, 0.753, 0.750], [0.247, 0.000, 0.250], [0.247, 0.247, 0.750], [0.333, 0.667, 0.000], [0.333, 0.667, 0.500], [0.667, 0.333, 0.000], [0.667, 0.333, 0.500], [0.753, 0.000, 0.750], [0.753, 0.753, 0.250], [0.000, 0.393, 0.750], [0.000, 0.607, 0.250], [0.393, 0.000, 0.750], [0.393, 0.393, 0.250], [0.607, 0.000, 0.250], [0.607, 0.607, 0.750]]}